DFT (GGA-PBEsol) results for In2Bi3Se7I after structural relaxation.

Properties
ΔE_f (raw): -0.438 eV/atom
Electronic total energy: -4.095 eV/atom
Crystal system: orthorhombic

a b c (Å): 26.607 4.111 13.418
angles (deg): 90.00 90.00 90.00
Space group Pnma (No. 62)
Asymmetric unit:
In (0.036, 0.250, 0.084) [4 per cell]
In (0.053, 0.750, 0.536) [4 per cell]
Bi (0.158, 0.750, 0.210) [4 per cell]
Bi (0.184, 0.250, 0.924) [4 per cell]
Bi (0.193, 0.250, 0.557) [4 per cell]
Se (0.011, 0.250, 0.624) [4 per cell]
Se (0.027, 0.250, 0.886) [4 per cell]
Se (0.088, 0.250, 0.252) [4 per cell]
Se (0.119, 0.750, 0.021) [4 per cell]
Se (0.139, 0.750, 0.450) [4 per cell]
Se (0.230, 0.250, 0.110) [4 per cell]
Se (0.242, 0.250, 0.375) [4 per cell]
I (0.135, 0.750, 0.735) [4 per cell]

---

DFT (GGA-PBEsol) results for InBiTeI2 after structural relaxation.

Properties
ΔE_f (raw): -0.024 eV/atom
DOS(E_F): 0.92 states/eV per cell
Electronic total energy: -2.889 eV/atom
Crystal system: tetragonal

a b c (Å): 6.054 6.054 5.907
angles (deg): 90.00 90.00 90.00
Space group P4/mmm (No. 123)
Asymmetric unit:
In (0.000, 0.000, 0.000) [1 per cell]
Bi (0.500, 0.500, 0.500) [1 per cell]
Te (0.500, 0.500, 0.000) [1 per cell]
I (0.000, 0.500, 0.500) [2 per cell]

---

DFT (GGA-PBEsol) results for InBiTe2I after structural relaxation.

Properties
ΔE_f (raw): 0.188 eV/atom
DOS(E_F): 4.59 states/eV per cell
Electronic total energy: -3.030 eV/atom
Crystal system: tetragonal

a b c (Å): 5.863 5.863 6.072
angles (deg): 90.00 90.00 90.00
Space group P4/mmm (No. 123)
Asymmetric unit:
In (0.000, 0.000, 0.000) [1 per cell]
Bi (0.500, 0.500, 0.500) [1 per cell]
Te (0.000, 0.500, 0.500) [2 per cell]
I (0.500, 0.500, 0.000) [1 per cell]

---

DFT (GGA-PBEsol) results for BiIr3I after structural relaxation.

Properties
ΔE_f (raw): 1.791 eV/atom
DOS(E_F): 6.88 states/eV per cell
Electronic total energy: -5.313 eV/atom
Crystal system: cubic

a b c (Å): 4.840 4.840 4.840
angles (deg): 90.00 90.00 90.00
Space group Pm-3m (No. 221)
Asymmetric unit:
Bi (0.000, 0.000, 0.000) [1 per cell]
Ir (0.000, 0.500, 0.500) [3 per cell]
I (0.500, 0.500, 0.500) [1 per cell]

---

DFT (GGA-PBEsol) results for BiIr2I after structural relaxation.

Properties
ΔE_f (raw): 0.889 eV/atom
DOS(E_F): 21.70 states/eV per cell
Electronic total energy: -5.536 eV/atom
Crystal system: cubic

a b c (Å): 6.770 6.770 6.770
angles (deg): 90.00 90.00 90.00
Space group Fm-3m (No. 225)
Asymmetric unit:
Bi (0.000, 0.000, 0.000) [4 per cell]
Ir (0.250, 0.250, 0.250) [8 per cell]
I (0.000, 0.000, 0.500) [4 per cell]

---

DFT (GGA-PBEsol) results for SrBi2IrI after structural relaxation.

Properties
ΔE_f (raw): -0.017 eV/atom
DOS(E_F): 4.67 states/eV per cell
Electronic total energy: -4.417 eV/atom
Crystal system: tetragonal

a b c (Å): 5.298 5.298 5.695
angles (deg): 90.00 90.00 90.00
Space group P4/mmm (No. 123)
Asymmetric unit:
Sr (0.000, 0.000, 0.000) [1 per cell]
Bi (0.000, 0.500, 0.500) [2 per cell]
Ir (0.500, 0.500, 0.500) [1 per cell]
I (0.500, 0.500, 0.000) [1 per cell]

---

no.,density (Mg/m³)
1,7.0
2,5.4
3,5.6
4,13.4
5,15.4
6,8.6